[1]
Density functional theory data (PBE-GGA) for an optimized crystal structure of LiCa2Tl2.

DOS at the Fermi energy = 3.48 states/eV/f.u.
DFT total energy = -2.14 eV per atom
ΔH_f (0 K) = -0.0094 eV per atom

```
5
Lattice="-2.571 3.383 -2.383 -3.927 -2.879 0.150 -5.166 3.192 5.125" Properties=species:S:1:pos:R:3 pbc="T T T"
Ca -6.171 0.282 2.079
Ca -5.493 3.413 0.812
Tl -8.035 2.861 2.770
Tl -3.629 0.835 0.121
Li 0.000 0.000 0.000
```

***

[2]
Density functional theory data (PBE-GGA) for an optimized crystal structure of LiCa5Tl3.

DOS at the Fermi energy = 7.34 states/eV/f.u.
DFT total energy = -2.42 eV per atom
ΔH_f (0 K) = -0.3106 eV per atom

```
18
Lattice="6.866 0.000 0.000 0.000 8.347 -4.819 0.000 0.000 9.638" Properties=species:S:1:pos:R:3 pbc="T T T"
Tl 1.717 5.308 3.064
Tl 1.717 3.039 -1.755
Tl 5.150 3.039 1.755
Tl 5.150 5.307 -3.064
Tl 1.717 0.000 3.509
Tl 5.150 8.347 1.310
Ca 0.000 5.564 0.000
Ca 3.433 5.564 0.000
Ca 5.150 5.836 3.369
Ca 1.717 2.511 1.449
Ca 1.717 0.000 6.739
Ca 5.150 8.347 -1.920
Ca 0.000 2.782 4.819
Ca 5.150 2.510 -1.449
Ca 3.433 2.782 4.819
Ca 1.717 5.836 -3.370
Li 0.000 0.000 0.000
Li 3.433 0.000 0.000
```

***

[3]
Density functional theory data (PBE-GGA) for an optimized crystal structure of Li6CaTl12.

DOS at the Fermi energy = 11.39 states/eV/f.u.
DFT total energy = -2.32 eV per atom
ΔH_f (0 K) = -0.1167 eV per atom

```
19
Lattice="8.548 0.000 0.000 -2.849 8.059 0.000 -2.849 -4.029 6.979" Properties=species:S:1:pos:R:3 pbc="T T T"
Ca 0.000 0.000 0.000
Tl 5.903 1.870 0.705
Tl 5.123 -1.428 5.007
Tl 3.425 3.622 3.740
Tl 2.645 0.324 1.972
Tl -2.273 5.457 1.972
Tl 3.053 6.513 1.267
Tl 0.204 3.705 5.007
Tl 2.273 1.020 5.712
Tl -3.053 2.159 6.274
Tl -0.576 0.407 3.240
Tl 0.576 3.009 1.267
Tl -0.204 -2.483 5.712
Li 2.042 -1.444 4.479
Li 0.808 5.473 2.500
Li 3.657 3.458 0.989
Li -0.808 0.571 5.990
Li 4.891 0.873 3.490
Li -2.042 3.157 3.490
```

***

[4]
Density functional theory data (PBE-GGA) for an optimized crystal structure of Li2CaTl.

DOS at the Fermi energy = 1.63 states/eV/f.u.
DFT total energy = -2.11 eV per atom
ΔH_f (0 K) = -0.0611 eV per atom

```
8
Lattice="-3.416 1.973 -2.199 -0.986 -3.931 -1.994 -8.757 -3.399 5.916" Properties=species:S:1:pos:R:3 pbc="T T T"
Tl 0.000 0.000 0.000
Tl -7.187 -1.202 0.810
Li -2.973 -3.210 0.125
Li -8.144 -2.984 3.016
Li -10.495 -4.562 0.616
Li -4.708 0.042 -0.312
Ca -5.972 -4.154 0.913
Ca -2.201 -0.979 -2.097
```

***

[5]
Density functional theory data (PBE-GGA) for an optimized crystal structure of Li3CaTl.

DOS at the Fermi energy = 1.60 states/eV/f.u.
DFT total energy = -2.03 eV per atom
ΔH_f (0 K) = -0.0063 eV per atom

```
5
Lattice="5.133 0.000 0.000 0.000 5.133 0.000 0.000 0.000 5.133" Properties=species:S:1:pos:R:3 pbc="T T T"
Li 0.000 0.000 2.567
Li 2.567 0.000 0.000
Li 0.000 2.567 0.000
Ca 2.567 2.567 2.567
Tl 0.000 0.000 0.000
```

***

[6]
Density functional theory data (PBE-GGA) for an optimized crystal structure of LiCaTl3.

DOS at the Fermi energy = 3.50 states/eV/f.u.
DFT total energy = -2.32 eV per atom
ΔH_f (0 K) = -0.1135 eV per atom

```
5
Lattice="5.181 0.000 0.000 0.000 5.181 0.000 0.000 0.000 5.181" Properties=species:S:1:pos:R:3 pbc="T T T"
Tl 0.000 0.000 2.591
Tl 2.591 0.000 0.000
Tl 0.000 2.591 0.000
Li 0.000 0.000 0.000
Ca 2.591 2.591 2.591
```

***

| no. | magnetic moment (μB per formula unit) |
| --- | --- |
| 1 | 0.000 |
| 2 | 0.000 |
| 3 | 0.000 |
| 4 | 0.000 |
| 5 | 0.000 |
| 6 | 0.000 |